# 1
# Ru2W (PBEsol, relaxed)
# - SG: No. 189
# - DFT total energy: -11.32 eV/atom
# - Theoretical density: 14.97 g/cm3
data_Ru2W
_chemical_formula_sum 'Ru6 W3'
_symmetry_space_group_name_H-M 'P 1'
_symmetry_Int_Tables_number 1
_cell_length_a 2.728
_cell_length_b 7.374
_cell_length_c 7.374
_cell_angle_alpha 120.00
_cell_angle_beta 90.00
_cell_angle_gamma 90.00
loop_
_symmetry_equiv_pos_as_xyz
'x,y,z'
loop_
_atom_site_label
_atom_site_fract_x
_atom_site_fract_y
_atom_site_fract_z
_atom_site_occupancy
W1 0.000 0.333 0.667 1
Ru1 0.000 0.696 0.696 1
Ru2 0.000 0.304 0.000 1
Ru3 0.500 0.361 0.361 1
W2 0.500 0.000 0.000 1
Ru4 0.000 0.000 0.304 1
W3 0.000 0.667 0.333 1
Ru5 0.500 0.000 0.639 1
Ru6 0.500 0.639 0.000 1


# 2
# SrCr2W (PBEsol, relaxed)
# - SG: No. 10
# - DFT total energy: -8.26 eV/atom
# - Theoretical density: 8.18 g/cm3
data_SrCr2W
_chemical_formula_sum 'Sr1 Cr2 W1'
_symmetry_space_group_name_H-M 'P 1'
_symmetry_Int_Tables_number 1
_cell_length_a 2.854
_cell_length_b 4.057
_cell_length_c 6.603
_cell_angle_alpha 90.00
_cell_angle_beta 94.16
_cell_angle_gamma 90.00
loop_
_symmetry_equiv_pos_as_xyz
'x,y,z'
loop_
_atom_site_label
_atom_site_fract_x
_atom_site_fract_y
_atom_site_fract_z
_atom_site_occupancy
Cr1 0.633 0.000 0.644 1
Sr1 0.500 0.500 0.000 1
W1 0.000 0.500 0.500 1
Cr2 0.367 0.000 0.356 1


# 3
# Li2PdAuBr (PBEsol, relaxed)
# - SG: No. 123
# - DFT total energy: -3.11 eV/atom
# - Theoretical density: 5.64 g/cm3
data_Li2PdAuBr
_chemical_formula_sum 'Li2 Pd1 Au1 Br1'
_symmetry_space_group_name_H-M 'P 1'
_symmetry_Int_Tables_number 1
_cell_length_a 4.608
_cell_length_b 5.040
_cell_length_c 5.040
_cell_angle_alpha 90.00
_cell_angle_beta 90.00
_cell_angle_gamma 90.00
loop_
_symmetry_equiv_pos_as_xyz
'x,y,z'
loop_
_atom_site_label
_atom_site_fract_x
_atom_site_fract_y
_atom_site_fract_z
_atom_site_occupancy
Br1 0.500 0.000 0.000 1
Li1 0.000 0.000 0.500 1
Pd1 0.000 0.000 0.000 1
Au1 0.500 0.500 0.500 1
Li2 0.000 0.500 0.000 1


# 4
# SiNi (PBEsol, relaxed)
# - SG: No. 12
# - DFT total energy: -6.41 eV/atom
# - Theoretical density: 6.41 g/cm3
data_SiNi
_chemical_formula_sum 'Si2 Ni2'
_symmetry_space_group_name_H-M 'P 1'
_symmetry_Int_Tables_number 1
_cell_length_a 2.974
_cell_length_b 3.904
_cell_length_c 4.269
_cell_angle_alpha 103.67
_cell_angle_beta 110.38
_cell_angle_gamma 90.00
loop_
_symmetry_equiv_pos_as_xyz
'x,y,z'
loop_
_atom_site_label
_atom_site_fract_x
_atom_site_fract_y
_atom_site_fract_z
_atom_site_occupancy
Ni1 0.887 0.686 0.774 1
Ni2 0.113 0.314 0.226 1
Si1 0.379 0.179 0.757 1
Si2 0.621 0.821 0.243 1


# 5
# CrRe5B2 (PBEsol, relaxed)
# - SG: No. 38
# - DFT total energy: -11.60 eV/atom
# - Theoretical density: 17.53 g/cm3
data_CrRe5B2
_chemical_formula_sum 'Cr1 Re5 B2'
_symmetry_space_group_name_H-M 'P 1'
_symmetry_Int_Tables_number 1
_cell_length_a 2.881
_cell_length_b 4.847
_cell_length_c 7.140
_cell_angle_alpha 90.00
_cell_angle_beta 90.00
_cell_angle_gamma 107.29
loop_
_symmetry_equiv_pos_as_xyz
'x,y,z'
loop_
_atom_site_label
_atom_site_fract_x
_atom_site_fract_y
_atom_site_fract_z
_atom_site_occupancy
Re1 0.571 0.143 0.500 1
Re2 0.132 0.264 0.183 1
B1 0.256 0.512 0.500 1
Re3 0.864 0.728 0.696 1
Re4 0.864 0.728 0.304 1
Re5 0.132 0.264 0.817 1
Cr1 0.426 0.852 0.000 1
B2 0.755 0.511 0.000 1


# 6
# Ba2SrHg2 (PBEsol, relaxed)
# - SG: No. 139
# - DFT total energy: -1.61 eV/atom
# - Theoretical density: 5.86 g/cm3
data_Ba2SrHg2
_chemical_formula_sum 'Ba2 Sr1 Hg2'
_symmetry_space_group_name_H-M 'P 1'
_symmetry_Int_Tables_number 1
_cell_length_a 4.899
_cell_length_b 4.899
_cell_length_c 9.658
_cell_angle_alpha 104.69
_cell_angle_beta 104.69
_cell_angle_gamma 90.00
loop_
_symmetry_equiv_pos_as_xyz
'x,y,z'
loop_
_atom_site_label
_atom_site_fract_x
_atom_site_fract_y
_atom_site_fract_z
_atom_site_occupancy
Ba1 0.377 0.377 0.753 1
Ba2 0.623 0.623 0.247 1
Hg1 0.250 0.750 0.500 1
Hg2 0.750 0.250 0.500 1
Sr1 0.000 0.000 0.000 1


# 7
# NaSbN2O (PBEsol, relaxed)
# - SG: No. 123
# - DFT total energy: -5.36 eV/atom
# - Theoretical density: 4.71 g/cm3
data_NaSbN2O
_chemical_formula_sum 'Na1 Sb1 N2 O1'
_symmetry_space_group_name_H-M 'P 1'
_symmetry_Int_Tables_number 1
_cell_length_a 4.031
_cell_length_b 4.062
_cell_length_c 4.062
_cell_angle_alpha 90.00
_cell_angle_beta 90.00
_cell_angle_gamma 90.00
loop_
_symmetry_equiv_pos_as_xyz
'x,y,z'
loop_
_atom_site_label
_atom_site_fract_x
_atom_site_fract_y
_atom_site_fract_z
_atom_site_occupancy
O1 0.500 0.000 0.000 1
Na1 0.500 0.500 0.500 1
N1 0.000 0.000 0.500 1
Sb1 0.000 0.000 0.000 1
N2 0.000 0.500 0.000 1


# 8
# TcW (PBEsol, relaxed)
# - SG: No. 74
# - DFT total energy: -12.46 eV/atom
# - Theoretical density: 15.66 g/cm3
data_TcW
_chemical_formula_sum 'Tc2 W2'
_symmetry_space_group_name_H-M 'P 1'
_symmetry_Int_Tables_number 1
_cell_length_a 3.101
_cell_length_b 4.377
_cell_length_c 5.156
_cell_angle_alpha 115.12
_cell_angle_beta 107.50
_cell_angle_gamma 90.00
loop_
_symmetry_equiv_pos_as_xyz
'x,y,z'
loop_
_atom_site_label
_atom_site_fract_x
_atom_site_fract_y
_atom_site_fract_z
_atom_site_occupancy
W1 0.870 0.620 0.741 1
W2 0.130 0.380 0.259 1
Tc1 0.617 0.867 0.235 1
Tc2 0.383 0.133 0.765 1


# 9
# NaY3Ir (PBEsol, relaxed)
# - SG: No. 221
# - DFT total energy: -4.98 eV/atom
# - Theoretical density: 5.96 g/cm3
data_NaY3Ir
_chemical_formula_sum 'Na1 Y3 Ir1'
_symmetry_space_group_name_H-M 'P 1'
_symmetry_Int_Tables_number 1
_cell_length_a 5.120
_cell_length_b 5.120
_cell_length_c 5.120
_cell_angle_alpha 90.00
_cell_angle_beta 90.00
_cell_angle_gamma 90.00
loop_
_symmetry_equiv_pos_as_xyz
'x,y,z'
loop_
_atom_site_label
_atom_site_fract_x
_atom_site_fract_y
_atom_site_fract_z
_atom_site_occupancy
Y1 0.000 0.000 0.500 1
Ir1 0.500 0.500 0.500 1
Na1 0.000 0.000 0.000 1
Y2 0.500 0.000 0.000 1
Y3 0.000 0.500 0.000 1


# 10
# KWN2 (PBEsol, relaxed)
# - SG: No. 122
# - DFT total energy: -8.48 eV/atom
# - Theoretical density: 5.71 g/cm3
data_KWN2
_chemical_formula_sum 'K2 W2 N4'
_symmetry_space_group_name_H-M 'P 1'
_symmetry_Int_Tables_number 1
_cell_length_a 5.658
_cell_length_b 6.064
_cell_length_c 5.658
_cell_angle_alpha 62.19
_cell_angle_beta 90.00
_cell_angle_gamma 117.81
loop_
_symmetry_equiv_pos_as_xyz
'x,y,z'
loop_
_atom_site_label
_atom_site_fract_x
_atom_site_fract_y
_atom_site_fract_z
_atom_site_occupancy
W1 0.750 0.500 0.750 1
N1 0.875 0.250 0.781 1
N2 0.781 0.750 0.375 1
N3 0.375 0.250 0.969 1
K1 0.250 0.500 0.250 1
K2 0.500 0.000 0.500 1
N4 0.969 0.750 0.875 1
W2 0.000 0.000 0.000 1


# 11
# ZnInMo2 (PBEsol, relaxed)
# - SG: No. 12
# - DFT total energy: -6.71 eV/atom
# - Theoretical density: 9.60 g/cm3
data_ZnInMo2
_chemical_formula_sum 'Zn1 In1 Mo2'
_symmetry_space_group_name_H-M 'P 1'
_symmetry_Int_Tables_number 1
_cell_length_a 2.747
_cell_length_b 5.234
_cell_length_c 5.234
_cell_angle_alpha 117.70
_cell_angle_beta 97.67
_cell_angle_gamma 97.67
loop_
_symmetry_equiv_pos_as_xyz
'x,y,z'
loop_
_atom_site_label
_atom_site_fract_x
_atom_site_fract_y
_atom_site_fract_z
_atom_site_occupancy
In1 0.500 0.000 0.000 1
Mo1 0.000 0.000 0.500 1
Zn1 0.500 0.500 0.500 1
Mo2 0.000 0.500 0.000 1


# 12
# Zr2Cu2Pb (PBEsol, relaxed)
# - SG: No. 127
# - DFT total energy: -6.37 eV/atom
# - Theoretical density: 9.50 g/cm3
data_Zr2Cu2Pb
_chemical_formula_sum 'Zr4 Cu4 Pb2'
_symmetry_space_group_name_H-M 'P 1'
_symmetry_Int_Tables_number 1
_cell_length_a 3.896
_cell_length_b 6.809
_cell_length_c 6.809
_cell_angle_alpha 90.00
_cell_angle_beta 90.00
_cell_angle_gamma 90.00
loop_
_symmetry_equiv_pos_as_xyz
'x,y,z'
loop_
_atom_site_label
_atom_site_fract_x
_atom_site_fract_y
_atom_site_fract_z
_atom_site_occupancy
Cu1 0.000 0.624 0.124 1
Cu2 0.000 0.376 0.876 1
Zr1 0.500 0.834 0.334 1
Cu3 0.000 0.124 0.376 1
Cu4 0.000 0.876 0.624 1
Zr2 0.500 0.666 0.834 1
Zr3 0.500 0.334 0.166 1
Zr4 0.500 0.166 0.666 1
Pb1 0.000 0.000 0.000 1
Pb2 0.000 0.500 0.500 1


# 13
# HoHO2 (PBEsol, relaxed)
# - SG: No. 62
# - DFT total energy: -7.39 eV/atom
# - Theoretical density: 7.15 g/cm3
data_HoHO2
_chemical_formula_sum 'Ho4 H4 O8'
_symmetry_space_group_name_H-M 'P 1'
_symmetry_Int_Tables_number 1
_cell_length_a 3.476
_cell_length_b 4.973
_cell_length_c 10.640
_cell_angle_alpha 90.00
_cell_angle_beta 90.00
_cell_angle_gamma 90.00
loop_
_symmetry_equiv_pos_as_xyz
'x,y,z'
loop_
_atom_site_label
_atom_site_fract_x
_atom_site_fract_y
_atom_site_fract_z
_atom_site_occupancy
H1 0.250 0.362 0.105 1
O1 0.750 0.670 0.429 1
O2 0.250 0.638 0.186 1
H2 0.750 0.862 0.395 1
O3 0.750 0.362 0.814 1
O4 0.250 0.862 0.686 1
O5 0.250 0.170 0.071 1
H3 0.250 0.138 0.605 1
O6 0.750 0.138 0.314 1
O7 0.750 0.830 0.929 1
Ho1 0.750 0.891 0.143 1
O8 0.250 0.330 0.571 1
Ho2 0.250 0.109 0.857 1
H4 0.750 0.638 0.895 1
Ho3 0.250 0.391 0.357 1
Ho4 0.750 0.609 0.643 1


# 14
# CrCo2Ru (PBEsol, relaxed)
# - SG: No. 119
# - DFT total energy: -8.90 eV/atom
# - Theoretical density: 10.15 g/cm3
data_CrCo2Ru
_chemical_formula_sum 'Cr1 Co2 Ru1'
_symmetry_space_group_name_H-M 'P 1'
_symmetry_Int_Tables_number 1
_cell_length_a 3.570
_cell_length_b 3.570
_cell_length_c 4.296
_cell_angle_alpha 114.55
_cell_angle_beta 114.55
_cell_angle_gamma 90.00
loop_
_symmetry_equiv_pos_as_xyz
'x,y,z'
loop_
_atom_site_label
_atom_site_fract_x
_atom_site_fract_y
_atom_site_fract_z
_atom_site_occupancy
Co1 0.000 0.000 0.000 1
Cr1 0.500 0.500 0.000 1
Co2 0.750 0.250 0.500 1
Ru1 0.250 0.750 0.500 1


# 15
# Y12Si5S28 (PBEsol, relaxed)
# - SG: No. 1
# - DFT total energy: -6.85 eV/atom
# - Theoretical density: 3.83 g/cm3
data_Y12Si5S28
_chemical_formula_sum 'Y12 Si5 S28'
_symmetry_space_group_name_H-M 'P 1'
_symmetry_Int_Tables_number 1
_cell_length_a 9.664
_cell_length_b 11.181
_cell_length_c 11.195
_cell_angle_alpha 60.58
_cell_angle_beta 64.45
_cell_angle_gamma 64.42
loop_
_symmetry_equiv_pos_as_xyz
'x,y,z'
loop_
_atom_site_label
_atom_site_fract_x
_atom_site_fract_y
_atom_site_fract_z
_atom_site_occupancy
S1 0.091 0.410 0.730 1
S2 0.335 0.395 0.933 1
S3 0.423 0.543 0.552 1
S4 0.849 0.237 0.002 1
S5 0.736 0.918 0.180 1
Y1 0.130 0.233 0.004 1
S6 0.257 0.566 0.335 1
Y2 0.778 0.042 0.306 1
Y3 0.872 0.762 0.018 1
S7 0.904 0.535 0.305 1
Y4 0.345 0.808 0.066 1
Y5 0.366 0.316 0.544 1
S8 0.414 0.044 0.063 1
S9 0.578 0.197 0.704 1
S10 0.105 0.240 0.254 1
Si1 0.666 0.005 0.664 1
S11 0.661 0.825 0.856 1
S12 0.140 0.223 0.548 1
S13 0.898 0.008 0.518 1
S14 0.167 0.738 0.995 1
Si2 0.334 0.580 0.745 1
S15 0.100 0.725 0.740 1
S16 0.839 0.744 0.514 1
S17 0.094 0.952 0.216 1
Y6 0.233 0.930 0.703 1
S18 0.472 0.210 0.224 1
S19 0.525 0.537 0.039 1
S20 0.518 0.035 0.549 1
S21 0.580 0.694 0.203 1
S22 0.238 0.074 0.840 1
S23 0.912 0.041 0.807 1
Y7 0.776 0.571 0.795 1
Y8 0.222 0.466 0.182 1
Si3 0.667 0.504 0.161 1
S24 0.673 0.311 0.342 1
Y9 0.648 0.704 0.424 1
Si4 0.001 0.227 0.774 1
S25 0.899 0.506 0.013 1
Y10 0.131 0.749 0.469 1
Si5 0.334 0.087 0.253 1
Y11 0.635 0.184 0.952 1
S26 0.773 0.385 0.706 1
S27 0.332 0.899 0.437 1
Y12 0.860 0.273 0.503 1
S28 0.490 0.692 0.707 1


# 16
# HfTaIn3 (PBEsol, relaxed)
# - SG: No. 221
# - DFT total energy: -4.81 eV/atom
# - Theoretical density: 8.03 g/cm3
data_HfTaIn3
_chemical_formula_sum 'Hf1 Ta1 In3'
_symmetry_space_group_name_H-M 'P 1'
_symmetry_Int_Tables_number 1
_cell_length_a 5.260
_cell_length_b 5.260
_cell_length_c 5.260
_cell_angle_alpha 90.00
_cell_angle_beta 90.00
_cell_angle_gamma 90.00
loop_
_symmetry_equiv_pos_as_xyz
'x,y,z'
loop_
_atom_site_label
_atom_site_fract_x
_atom_site_fract_y
_atom_site_fract_z
_atom_site_occupancy
In1 0.000 0.500 0.000 1
Ta1 0.500 0.500 0.500 1
In2 0.000 0.000 0.500 1
Hf1 0.000 0.000 0.000 1
In3 0.500 0.000 0.000 1


# 17
# LiCoPb2 (PBEsol, relaxed)
# - SG: No. 44
# - DFT total energy: -4.26 eV/atom
# - Theoretical density: 9.68 g/cm3
data_LiCoPb2
_chemical_formula_sum 'Li1 Co1 Pb2'
_symmetry_space_group_name_H-M 'P 1'
_symmetry_Int_Tables_number 1
_cell_length_a 3.123
_cell_length_b 4.144
_cell_length_c 6.873
_cell_angle_alpha 107.55
_cell_angle_beta 103.13
_cell_angle_gamma 90.00
loop_
_symmetry_equiv_pos_as_xyz
'x,y,z'
loop_
_atom_site_label
_atom_site_fract_x
_atom_site_fract_y
_atom_site_fract_z
_atom_site_occupancy
Li1 0.181 0.681 0.362 1
Pb1 0.810 0.310 0.619 1
Co1 0.487 0.487 0.974 1
Pb2 0.022 0.022 0.044 1


# 18
# NbInH2 (PBEsol, relaxed)
# - SG: No. 122
# - DFT total energy: -4.97 eV/atom
# - Theoretical density: 7.22 g/cm3
data_NbInH2
_chemical_formula_sum 'Nb2 In2 H4'
_symmetry_space_group_name_H-M 'P 1'
_symmetry_Int_Tables_number 1
_cell_length_a 4.052
_cell_length_b 4.052
_cell_length_c 6.536
_cell_angle_alpha 108.06
_cell_angle_beta 108.06
_cell_angle_gamma 90.00
loop_
_symmetry_equiv_pos_as_xyz
'x,y,z'
loop_
_atom_site_label
_atom_site_fract_x
_atom_site_fract_y
_atom_site_fract_z
_atom_site_occupancy
H1 0.741 0.375 0.250 1
H2 0.625 0.491 0.750 1
In1 0.250 0.750 0.500 1
H3 0.125 0.259 0.750 1
Nb1 0.500 0.500 0.000 1
Nb2 0.750 0.250 0.500 1
In2 0.000 0.000 0.000 1
H4 0.509 0.875 0.250 1


# 19
# BeAlSb2 (PBEsol, relaxed)
# - SG: No. 139
# - DFT total energy: -3.84 eV/atom
# - Theoretical density: 5.84 g/cm3
data_BeAlSb2
_chemical_formula_sum 'Be1 Al1 Sb2'
_symmetry_space_group_name_H-M 'P 1'
_symmetry_Int_Tables_number 1
_cell_length_a 4.714
_cell_length_b 4.888
_cell_length_c 4.714
_cell_angle_alpha 61.18
_cell_angle_beta 90.00
_cell_angle_gamma 118.82
loop_
_symmetry_equiv_pos_as_xyz
'x,y,z'
loop_
_atom_site_label
_atom_site_fract_x
_atom_site_fract_y
_atom_site_fract_z
_atom_site_occupancy
Sb1 0.750 0.500 0.750 1
Al1 0.500 0.000 0.500 1
Sb2 0.250 0.500 0.250 1
Be1 0.000 0.000 0.000 1


# 20
# Si2AgOs (PBEsol, relaxed)
# - SG: No. 44
# - DFT total energy: -6.70 eV/atom
# - Theoretical density: 9.41 g/cm3
data_Si2AgOs
_chemical_formula_sum 'Si2 Ag1 Os1'
_symmetry_space_group_name_H-M 'P 1'
_symmetry_Int_Tables_number 1
_cell_length_a 2.797
_cell_length_b 3.674
_cell_length_c 6.509
_cell_angle_alpha 106.39
_cell_angle_beta 102.41
_cell_angle_gamma 90.00
loop_
_symmetry_equiv_pos_as_xyz
'x,y,z'
loop_
_atom_site_label
_atom_site_fract_x
_atom_site_fract_y
_atom_site_fract_z
_atom_site_occupancy
Os1 0.281 0.781 0.563 1
Ag1 0.555 0.555 0.110 1
Si1 0.720 0.220 0.439 1
Si2 0.944 0.944 0.888 1